AlCr2Pb after structural relaxation. Source: the Alexandria database, functional PBE.

extended XYZ file:
```
4
Lattice="3.183 0.000 0.000 0.000 3.183 0.000 0.000 0.000 7.251" Properties=species:S:1:pos:R:3 pbc="T T T"
Al 0.000 0.000 0.000
Cr 1.592 1.592 1.518
Cr 1.592 1.592 5.733
Pb 0.000 0.000 3.626
```

Calculated values
Calculated total energy = -6.238 eV per atom
Volume = 73.5 Å³ per cell
Symmetry = P4/mmm
N(E_F) = 2.36 states/eV/f.u.
Magnetization = 7.011 Bohr magnetons per cell